Density functional theory data (PBE-GGA) for crystalline KSc2Sn2 at its relaxed geometry.

Properties
- symmetry = No. 127
- energy of formation (meV per atom) = -410
- spin magnetization (μB/f.u.) = 0.650
- electronic total energy (eV per atom) = -4.76
- relative energy among the computed polymorphs (meV/atom) = 0

POSCAR file:
```
KSc2Sn2
1.0
9.032 0.000 0.000
0.000 9.032 0.000
0.000 0.000 3.232
Sc K Sn
4 2 4
direct
0.372 0.872 0.000 Sc
0.872 0.628 0.000 Sc
0.628 0.128 0.000 Sc
0.128 0.372 0.000 Sc
0.000 0.000 0.000 K
0.500 0.500 0.000 K
0.166 0.666 0.500 Sn
0.666 0.834 0.500 Sn
0.834 0.334 0.500 Sn
0.334 0.166 0.500 Sn
```